No. 1
Material: KAgS2O6
Method: DFT, PBE-GGA
State: optimized geometry

abc: 5.5291 5.5291 7.1003
angles: 67.09 67.09 60.00
Element x y z (fractional)
O 0.4778 0.2870 0.2759
O 0.2870 0.9592 0.2759
O 0.5222 0.7130 0.7240
O 0.9592 0.4778 0.2759
O 0.7130 0.0408 0.7240
O 0.0408 0.5222 0.7240
S 0.7373 0.7373 0.7881
S 0.2627 0.2627 0.2119
Ag 0.5000 0.5000 0.5000
K 0.0000 0.0000 0.0000

Results
Formation energy from raw total energies = -1.097 eV per atom
Magnetization = 0.0000 μB per atom
SG = No. 148
Crystal system = trigonal

***

No. 2
Material: DyNbO4
Method: DFT, PBE-GGA
State: optimized geometry

abc: 5.6971 5.6971 5.6971
angles: 118.69 118.69 92.28
Element x y z (fractional)
O 0.6076 0.8219 0.4723
O 0.4004 0.1148 0.9723
O 0.3496 0.1352 0.5277
O 0.8648 0.3924 0.2144
O 0.5719 0.5996 0.7144
O 0.1781 0.6504 0.7856
O 0.1424 0.4281 0.0277
O 0.8852 0.8576 0.2856
Nb 0.5000 0.5000 0.0000
Nb 0.2500 0.7500 0.5000
Dy 0.0000 0.0000 0.0000
Dy 0.7500 0.2500 0.5000

Results
Formation energy from raw total energies = -2.769 eV per atom
Magnetization = 0.0000 μB per atom
SG = No. 88
Crystal system = tetragonal